#w
This record from Alexandria describes a relaxed structure of CaFe3F. The functional is PBE+U.

Unit cell a=5.3652 b=5.3652 c=5.3652 alpha=90.00 beta=90.00 gamma=90.00
Closest atoms and distances in Å follow each position.
Sites, in units of the cell vectors:
Ca: 0.0000 0.0000 0.0000  6 Fe 2.68
Fe: 0.0000 0.5000 0.0000  2 Ca 2.68
Fe: 0.0000 0.0000 0.5000  2 Ca 2.68
Fe: 0.5000 0.0000 0.0000  2 Ca 2.68
F: 0.5000 0.5000 0.5000  12 Fe 3.79

Results
SG = Pm-3m (221)
DOS at the Fermi energy = 3.72 states/eV/cell

#x
This record from Alexandria describes a relaxed structure of CaFe3F. The functional is PBE+U.

Unit cell a=4.5368 b=4.5368 c=4.5368 alpha=90.00 beta=90.00 gamma=90.00
Closest atoms and distances in Å follow each position.
Sites, in units of the cell vectors:
Ca: 0.5000 0.5000 0.5000  12 Fe 3.21
Fe: 0.0000 0.5000 0.0000  2 F 2.27
Fe: 0.0000 0.0000 0.5000  2 F 2.27
Fe: 0.5000 0.0000 0.0000  2 F 2.27
F: 0.0000 0.0000 0.0000  6 Fe 2.27

Results
SG = Pm-3m (221)
DOS at the Fermi energy = 7.18 states/eV/cell

Which is most stable, and by how much? #x, by 96.9 kJ/mol of atoms.

#w
This record from Alexandria describes a relaxed structure of CaFeNF2. The functional is PBE+U.

Unit cell a=4.0551 b=4.0551 c=3.9726 alpha=90.00 beta=90.00 gamma=90.00
Closest atoms and distances in Å follow each position.
Sites, in units of the cell vectors:
Ca: 0.5000 0.5000 0.5000  8 F 2.84, 4 N 2.87
N: 0.0000 0.0000 0.5000  2 Fe 1.99
Fe: 0.0000 0.0000 0.0000  2 N 1.99, 4 F 2.03
F: 0.0000 0.5000 0.0000  2 Fe 2.03
F: 0.5000 0.0000 0.0000  2 Fe 2.03

Results
SG = P4/mmm (123)
DOS at the Fermi energy = 0.17 states/eV/cell

#x
This record from Alexandria describes a relaxed structure of CaFeNF2. The functional is PBE+U.

Unit cell a=4.1848 b=4.1848 c=4.8406 alpha=90.00 beta=90.00 gamma=90.00
Closest atoms and distances in Å follow each position.
Sites, in units of the cell vectors:
Ca: 0.0000 0.0000 0.0000  4 F 2.09
N: 0.0000 0.0000 0.5000  2 Ca 2.42
Fe: 0.5000 0.5000 0.5000  4 N 2.96, 8 F 3.20
F: 0.0000 0.5000 0.0000  2 Ca 2.09
F: 0.5000 0.0000 0.0000  2 Ca 2.09

Results
SG = P4/mmm (123)
DOS at the Fermi energy = 1.38 states/eV/cell

Which is most stable, and by how much? #w, by 64.5 kJ/mol of atoms.

#w
This record from Alexandria describes a relaxed structure of CaFe6O4F8. The functional is PBE+U.

Unit cell a=5.8356 b=6.0518 c=8.2724 alpha=98.87 beta=101.84 gamma=114.40
Closest atoms and distances in Å follow each position.
Sites, in units of the cell vectors:
Ca: 0.0545 0.2585 0.7748  5 F 2.23-2.44, 2 O 2.36-2.49
Fe: 0.5439 0.6850 0.1650  3 O 1.94-2.13, 3 F 2.03-2.12
Fe: 0.9453 0.3005 0.3038  1 O 1.98, 3 F 2.02-2.16
Fe: 0.8408 0.6334 0.6030  1 O 1.98, 4 F 2.03-2.16
Fe: 0.6843 0.4096 0.9333  3 O 1.87-1.90, 1 F 1.92
Fe: 0.4374 0.0060 0.4955  3 F 2.05-2.18, 2 O 2.19-2.22
Fe: 0.2381 0.9972 0.1093  3 O 2.06-2.19, 2 F 2.11-2.17
O: 0.6753 0.3528 0.7031  2 Fe 1.87-1.98
O: 0.5969 0.0178 0.2736  2 Fe 1.94-1.98
O: 0.8293 0.7491 0.0547  2 Fe 1.88-1.99
O: 0.3849 0.3070 0.0158  3 Fe 1.90-2.13
F: 0.2582 0.6097 0.2978  2 Fe 2.02-2.12
F: 0.1727 0.9640 0.6536  2 Fe 2.03-2.18
F: 0.6774 0.8861 0.6314  2 Fe 2.05-2.12
F: 0.8706 0.2317 0.0155  1 Fe 1.92
F: 0.7430 0.5777 0.3409  2 Fe 2.03-2.06
F: 0.2575 0.6801 0.9619  2 Fe 2.10-2.17
F: 0.0876 0.4558 0.5677  2 Fe 2.08-2.16, 1 Ca 2.23
F: 0.2022 0.1278 0.3493  3 Fe 2.08-2.16

Results
SG = P1 (1)
DOS at the Fermi energy = 0.00 states/eV/cell

#x
This record from Alexandria describes a relaxed structure of CaFe6O4F8. The functional is PBE+U.

Unit cell a=5.7393 b=5.8163 c=7.8174 alpha=74.48 beta=76.27 gamma=70.68
Closest atoms and distances in Å follow each position.
Sites, in units of the cell vectors:
Ca: 0.2777 0.8062 0.5147  5 F 2.20-2.35
Fe: 0.6263 0.6471 0.8502  3 O 1.95-2.04, 2 F 2.00-2.16
Fe: 0.2845 0.2452 0.7175  1 O 1.96, 3 F 2.00-2.15
Fe: 0.8086 0.6658 0.2701  1 O 1.93, 3 F 2.06-2.10
Fe: 0.3607 0.3622 0.1527  3 O 1.97-2.02, 3 F 2.03-2.15
Fe: 0.7840 0.1730 0.4973  2 O 2.06-2.09, 3 F 2.18-2.26
Fe: 0.9905 0.0111 0.0048  2 O 2.00-2.06, 2 F 2.13-2.15
O: 0.0486 0.3495 0.3372  3 Fe 1.93-2.09
O: 0.5577 0.9584 0.6525  3 Fe 1.96-2.06
O: 0.2906 0.6965 0.9972  3 Fe 1.97-2.06
O: 0.6991 0.3179 0.0065  3 Fe 1.95-2.00
F: 0.0125 0.5666 0.6894  1 Fe 2.00
F: 0.5117 0.9827 0.2850  2 Fe 2.06-2.15, 1 Ca 2.20
F: 0.9841 0.8966 0.3255  2 Fe 2.10-2.22, 1 Ca 2.34
F: 0.2451 0.2146 0.9912  3 Fe 2.03-2.13
F: 0.5488 0.4726 0.6660  3 Fe 2.16-2.33, 1 Ca 2.29
F: 0.7691 0.7787 0.0004  3 Fe 2.00-2.15
F: 0.4991 0.4707 0.3409  3 Fe 2.14-2.30
F: 0.0242 0.0616 0.7007  3 Fe 2.15-2.28, 1 Ca 2.27

Results
SG = P1 (1)
DOS at the Fermi energy = 0.00 states/eV/cell

Which is most stable, and by how much? #w, by 4.4 kJ/mol of atoms.